1.
First-principles (PBE) data for an optimized crystal structure of MgMnBr2, as listed in the Alexandria database.

Results
Polymorph energy (0 for the lowest one) ... 457 meV per atom
Crystal system ... tetragonal

a b c (Å): 3.9428 3.9428 13.1518
angles (deg): 90.00 90.00 90.00
Last column: nearest neighbours and their distance in Å.
Fractional coordinates of all 8 atoms:
Mg1 0.0000 0.0000 0.0000  4 Br 2.79
Mg2 0.5000 0.5000 0.5000  4 Br 2.79
Mn1 0.0000 0.5000 0.7500  4 Br 2.79
Mn2 0.5000 0.0000 0.2500  4 Br 2.79
Br1 0.0000 0.0000 0.5000  4 Mg 2.79
Br2 0.0000 0.5000 0.2500  4 Mn 2.79
Br3 0.5000 0.0000 0.7500  4 Mn 2.79
Br4 0.5000 0.5000 0.0000  4 Mg 2.79

---

2.
First-principles (PBE) data for an optimized crystal structure of La4SiNCl2, as listed in the Alexandria database.

Results
E_tot ... -6.026 eV/atom
Crystal system ... monoclinic

a b c (Å): 7.0128 4.0325 7.6750
angles (deg): 90.00 108.18 90.00
Last column: nearest neighbours and their distance in Å.
Fractional coordinates of all 8 atoms:
La1 0.2095 0.0000 0.1980  2 N 2.67, 1 Si 2.90
La2 0.2269 0.5000 0.7928  1 N 2.58
La3 0.7731 0.5000 0.2072  1 N 2.58
La4 0.7905 0.0000 0.8020  2 N 2.67, 1 Si 2.90
Si1 0.5000 0.0000 0.0000  6 La 2.89-2.90
N1 0.0000 0.5000 0.0000  6 La 2.58-2.67
Cl1 0.0000 0.0000 0.5000  6 La 3.07-3.11
Cl2 0.5000 0.5000 0.5000  6 La 3.26-3.38

---

3.
First-principles (PBE) data for an optimized crystal structure of Y2Tm2Te5, as listed in the Alexandria database.

Results
E_tot ... -5.336 eV/atom
Crystal system ... orthorhombic

a b c (Å): 9.7245 9.7245 6.0993
angles (deg): 90.00 90.00 143.88
Last column: nearest neighbours and their distance in Å.
Fractional coordinates of all 9 atoms:
Y1 0.1560 0.8440 0.0000  5 Te 2.88-3.05
Y2 0.8440 0.1560 0.0000  5 Te 2.88-3.05
Tm1 0.3145 0.6855 0.5000  5 Te 2.99-3.07
Tm2 0.6855 0.3145 0.5000  5 Te 2.99-3.07
Te1 0.0000 0.0000 0.0000  2 Y 2.88
Te2 0.1530 0.8470 0.5000  3 Tm 2.99-3.07, 2 Y 3.05
Te3 0.3307 0.6693 0.0000  3 Y 3.02-3.23, 2 Tm 3.06
Te4 0.6693 0.3307 0.0000  3 Y 3.02-3.23, 2 Tm 3.06
Te5 0.8470 0.1530 0.5000  3 Tm 2.99-3.07, 2 Y 3.05

---

4.
First-principles (PBE) data for an optimized crystal structure of Hf2ReSnHg, as listed in the Alexandria database.

Results
ΔE_f ... 1.483 eV/atom
Crystal system ... tetragonal

a b c (Å): 5.2093 5.2093 4.8439
angles (deg): 90.00 90.00 90.00
Last column: nearest neighbours and their distance in Å.
Fractional coordinates of all 5 atoms:
Hf1 0.0000 0.5000 0.0000  2 Sn 2.60
Hf2 0.5000 0.0000 0.0000  2 Sn 2.60
Re1 0.0000 0.0000 0.5000  2 Sn 2.42
Sn1 0.0000 0.0000 0.0000  2 Re 2.42, 4 Hf 2.60
Hg1 0.5000 0.5000 0.5000  8 Hf 3.56, 4 Re 3.68

---

5.
First-principles (PBE) data for an optimized crystal structure of ThTaB4, as listed in the Alexandria database.

Results
ΔE_f ... -0.626 eV/atom
Crystal system ... orthorhombic

a b c (Å): 6.2058 12.0287 3.7837
angles (deg): 90.00 90.00 90.00
Last column: nearest neighbours and their distance in Å.
Fractional coordinates of all 24 atoms:
Th1 0.1257 0.1504 0.0000  14 B 2.79-2.91
Th2 0.3743 0.6504 0.0000  14 B 2.79-2.91
Th3 0.6257 0.3496 0.0000  14 B 2.79-2.91
Th4 0.8743 0.8496 0.0000  14 B 2.79-2.91
Ta1 0.1315 0.4139 0.0000  10 B 2.44-2.47, 1 Ta 2.64
Ta2 0.3685 0.9139 0.0000  10 B 2.44-2.47, 1 Ta 2.64
Ta3 0.6315 0.0861 0.0000  10 B 2.44-2.47, 1 Ta 2.64
Ta4 0.8685 0.5861 0.0000  10 B 2.44-2.47, 1 Ta 2.64
B1 0.0258 0.6909 0.5000  3 B 1.83-1.94
B2 0.1127 0.5456 0.5000  3 B 1.78-1.83
B3 0.1362 0.9676 0.5000  3 B 1.82-1.92
B4 0.2140 0.8135 0.5000  3 B 1.88-1.94
B5 0.2860 0.3135 0.5000  3 B 1.88-1.94
B6 0.3638 0.4676 0.5000  3 B 1.82-1.92
B7 0.3873 0.0456 0.5000  3 B 1.78-1.83
B8 0.4742 0.1909 0.5000  3 B 1.83-1.94
B9 0.5258 0.8091 0.5000  3 B 1.83-1.94
B10 0.6127 0.9544 0.5000  3 B 1.78-1.83
B11 0.6362 0.5324 0.5000  3 B 1.82-1.92
B12 0.7140 0.6865 0.5000  3 B 1.88-1.94
B13 0.7860 0.1865 0.5000  3 B 1.88-1.94
B14 0.8638 0.0324 0.5000  3 B 1.82-1.92
B15 0.8873 0.4544 0.5000  3 B 1.78-1.83
B16 0.9742 0.3091 0.5000  3 B 1.83-1.94

---

6.
First-principles (PBE) data for an optimized crystal structure of LaTmAu, as listed in the Alexandria database.

Results
ΔE_f ... -0.609 eV/atom
Polymorph energy (0 for the lowest one) ... 0 meV per atom
Crystal system ... tetragonal

a b c (Å): 4.8604 4.8604 7.3681
angles (deg): 90.00 90.00 90.00
Last column: nearest neighbours and their distance in Å.
Fractional coordinates of all 6 atoms:
La1 0.2500 0.2500 0.1199  1 Au 2.95
La2 0.7500 0.7500 0.8801  1 Au 2.95
Tm1 0.2500 0.7500 0.5000  4 Au 2.92
Tm2 0.7500 0.2500 0.5000  4 Au 2.92
Au1 0.2500 0.2500 0.7189  4 Tm 2.92, 1 La 2.95
Au2 0.7500 0.7500 0.2811  4 Tm 2.92, 1 La 2.95

---

7.
First-principles (PBE) data for an optimized crystal structure of BiAsP, as listed in the Alexandria database.

Results
ΔE_f ... 0.183 eV/atom
Polymorph energy (0 for the lowest one) ... 36 meV per atom
Crystal system ... orthorhombic

a b c (Å): 4.9217 5.5878 6.2714
angles (deg): 90.00 90.00 90.00
Last column: nearest neighbours and their distance in Å.
Fractional coordinates of all 6 atoms:
Bi1 0.0000 0.0489 0.0000  2 P 2.92, 2 As 3.11, 2 Bi 3.18
Bi2 0.0000 0.9511 0.5000  2 P 2.92, 2 As 3.11, 2 Bi 3.18
As1 0.5000 0.2864 0.5483  2 P 2.33-2.39
As2 0.5000 0.7136 0.0483  2 P 2.33-2.39
P1 0.5000 0.3186 0.9284  2 As 2.33-2.39
P2 0.5000 0.6814 0.4284  2 As 2.33-2.39

---

8.
First-principles (PBE) data for an optimized crystal structure of Mg2W3, as listed in the Alexandria database.

Results
ΔE_f ... 0.526 eV/atom
Crystal system ... trigonal

a b c (Å): 2.8363 2.8363 36.9163
angles (deg): 90.00 90.00 120.00
Last column: nearest neighbours and their distance in Å.
Fractional coordinates of all 15 atoms:
Mg1 0.0000 0.0000 0.1004  6 Mg 2.84, 6 W 2.94-3.00
Mg2 0.0000 0.0000 0.8996  6 Mg 2.84, 6 W 2.94-3.00
Mg3 0.3333 0.6667 0.5662  6 Mg 2.84, 6 W 2.94-3.00
Mg4 0.3333 0.6667 0.7671  6 Mg 2.84, 6 W 2.94-3.00
Mg5 0.6667 0.3333 0.2329  6 Mg 2.84, 6 W 2.94-3.00
Mg6 0.6667 0.3333 0.4338  6 Mg 2.84, 6 W 2.94-3.00
W1 0.0000 0.0000 0.3008  9 W 2.84-2.91, 3 Mg 3.00
W2 0.0000 0.0000 0.5000  6 W 2.84, 6 Mg 2.94
W3 0.0000 0.0000 0.6992  9 W 2.84-2.91, 3 Mg 3.00
W4 0.3333 0.6667 0.1667  6 W 2.84, 6 Mg 2.94
W5 0.3333 0.6667 0.3658  9 W 2.84-2.91, 3 Mg 3.00
W6 0.3333 0.6667 0.9675  9 W 2.84-2.91, 3 Mg 3.00
W7 0.6667 0.3333 0.0325  9 W 2.84-2.91, 3 Mg 3.00
W8 0.6667 0.3333 0.6342  9 W 2.84-2.91, 3 Mg 3.00
W9 0.6667 0.3333 0.8333  6 W 2.84, 6 Mg 2.94

---

9.
First-principles (PBE) data for an optimized crystal structure of CuSi2Cl8, as listed in the Alexandria database.

Results
E_tot ... -3.491 eV/atom
Crystal system ... monoclinic

a b c (Å): 7.6126 7.6126 6.6326
angles (deg): 90.68 90.68 68.43
Last column: nearest neighbours and their distance in Å.
Fractional coordinates of all 11 atoms:
Cu1 0.0000 0.0000 0.0000  4 Cl 2.44
Si1 0.1853 0.1853 0.6886  4 Cl 2.08-2.16
Si2 0.8147 0.8147 0.3114  4 Cl 2.08-2.16
Cl1 0.0938 0.7023 0.1814  1 Si 2.16
Cl2 0.1675 0.1675 0.3734  1 Si 2.10
Cl3 0.2977 0.9062 0.8186  1 Si 2.16
Cl4 0.3440 0.3440 0.7793  1 Si 2.08
Cl5 0.6560 0.6560 0.2207  1 Si 2.08
Cl6 0.7023 0.0938 0.1814  1 Si 2.16
Cl7 0.8325 0.8325 0.6266  1 Si 2.10
Cl8 0.9062 0.2977 0.8186  1 Si 2.16

---

10.
First-principles (PBE) data for an optimized crystal structure of TmAlAg, as listed in the Alexandria database.

Results
ΔE_f ... -0.245 eV/atom
Crystal system ... tetragonal

a b c (Å): 3.3139 3.3139 11.2247
angles (deg): 90.00 90.00 90.00
Last column: nearest neighbours and their distance in Å.
Fractional coordinates of all 6 atoms:
Tm1 0.0000 0.0000 0.0000  4 Al 3.11, 4 Ag 3.14, 4 Tm 3.31
Tm2 0.5000 0.5000 0.5000  4 Al 3.11, 4 Ag 3.14, 4 Tm 3.31
Al1 0.0000 0.0000 0.6823  4 Ag 2.77
Al2 0.5000 0.5000 0.1823  4 Ag 2.77
Ag1 0.0000 0.0000 0.3137  4 Al 2.77
Ag2 0.5000 0.5000 0.8137  4 Al 2.77

---

11.
First-principles (PBE) data for an optimized crystal structure of Pu2TlRh, as listed in the Alexandria database.

Results
ΔE_f ... -0.149 eV/atom
Polymorph energy (0 for the lowest one) ... 109 meV per atom
Crystal system ... trigonal

a b c (Å): 3.8618 3.8618 25.0432
angles (deg): 90.00 90.00 120.00
Last column: nearest neighbours and their distance in Å.
Fractional coordinates of all 12 atoms:
Pu1 0.0000 0.0000 0.2324  3 Rh 2.77
Pu2 0.0000 0.0000 0.7676  3 Rh 2.77
Pu3 0.3333 0.6667 0.4343  3 Rh 2.77
Pu4 0.3333 0.6667 0.8991  3 Rh 2.77
Pu5 0.6667 0.3333 0.1009  3 Rh 2.77
Pu6 0.6667 0.3333 0.5657  3 Rh 2.77
Tl1 0.0000 0.0000 0.0000  6 Pu 3.37
Tl2 0.3333 0.6667 0.6667  6 Pu 3.37
Tl3 0.6667 0.3333 0.3333  6 Pu 3.37
Rh1 0.0000 0.0000 0.5000  6 Pu 2.77
Rh2 0.3333 0.6667 0.1667  6 Pu 2.77
Rh3 0.6667 0.3333 0.8333  6 Pu 2.77

---

12.
First-principles (PBE) data for an optimized crystal structure of Ca3Hg7Sb, as listed in the Alexandria database.

Results
E_tot ... -1.466 eV/atom
Crystal system ... orthorhombic

a b c (Å): 12.2705 12.2705 11.4043
angles (deg): 90.00 90.00 159.19
Last column: nearest neighbours and their distance in Å.
Fractional coordinates of all 22 atoms:
Ca1 0.0814 0.9186 0.5396  9 Hg 3.19-3.45, 1 Sb 3.31
Ca2 0.0814 0.9186 0.9604  9 Hg 3.19-3.45, 1 Sb 3.31
Ca3 0.2063 0.7937 0.2500  1 Sb 3.27, 8 Hg 3.28-3.38
Ca4 0.7937 0.2063 0.7500  1 Sb 3.27, 8 Hg 3.28-3.38
Ca5 0.9186 0.0814 0.0396  9 Hg 3.19-3.45, 1 Sb 3.31
Ca6 0.9186 0.0814 0.4604  9 Hg 3.19-3.45, 1 Sb 3.31
Hg1 0.2086 0.7914 0.6168  6 Hg 3.01-3.36, 1 Ca 3.19
Hg2 0.2086 0.7914 0.8832  6 Hg 3.01-3.36, 1 Ca 3.19
Hg3 0.3295 0.6705 0.5516  3 Hg 3.01-3.07, 4 Ca 3.26-3.28
Hg4 0.3295 0.6705 0.9484  3 Hg 3.01-3.07, 4 Ca 3.26-3.28
Hg5 0.3752 0.6248 0.2500  8 Hg 3.36-3.61, 4 Ca 3.43
Hg6 0.4955 0.5045 0.6257  2 Hg 2.84-2.87, 2 Sb 3.08
Hg7 0.4955 0.5045 0.8743  2 Hg 2.84-2.87, 2 Sb 3.08
Hg8 0.5045 0.4955 0.1257  2 Hg 2.84-2.87, 2 Sb 3.08
Hg9 0.5045 0.4955 0.3743  2 Hg 2.84-2.87, 2 Sb 3.08
Hg10 0.6248 0.3752 0.7500  8 Hg 3.36-3.61, 4 Ca 3.43
Hg11 0.6705 0.3295 0.0516  3 Hg 3.01-3.07, 4 Ca 3.26-3.28
Hg12 0.6705 0.3295 0.4484  3 Hg 3.01-3.07, 4 Ca 3.26-3.28
Hg13 0.7914 0.2086 0.1168  6 Hg 3.01-3.36, 1 Ca 3.19
Hg14 0.7914 0.2086 0.3832  6 Hg 3.01-3.36, 1 Ca 3.19
Sb1 0.0707 0.9293 0.2500  4 Hg 3.08, 3 Ca 3.27-3.31
Sb2 0.9293 0.0707 0.7500  4 Hg 3.08, 3 Ca 3.27-3.31

---

13.
First-principles (PBE) data for an optimized crystal structure of MnFe2Si, as listed in the Alexandria database.

Results
E_tot ... -7.493 eV/atom
Crystal system ... tetragonal

a b c (Å): 6.3508 6.3508 4.8478
angles (deg): 90.00 90.00 90.00
Last column: nearest neighbours and their distance in Å.
Fractional coordinates of all 16 atoms:
Mn1 0.0000 0.0000 0.0000  4 Fe 2.30, 2 Si 2.42
Mn2 0.0000 0.5000 0.2500  4 Fe 2.30, 2 Si 2.42
Mn3 0.5000 0.0000 0.7500  4 Fe 2.30, 2 Si 2.42
Mn4 0.5000 0.5000 0.5000  4 Fe 2.30, 2 Si 2.42
Fe1 0.2441 0.7500 0.1250  2 Mn 2.30, 2 Si 2.35, 2 Fe 2.43
Fe2 0.2500 0.2441 0.8750  2 Mn 2.30, 2 Si 2.35, 2 Fe 2.43
Fe3 0.2500 0.2559 0.3750  2 Mn 2.30, 2 Si 2.35, 2 Fe 2.43
Fe4 0.2559 0.7500 0.6250  2 Mn 2.30, 2 Si 2.35, 2 Fe 2.43
Fe5 0.7441 0.2500 0.6250  2 Mn 2.30, 2 Si 2.35, 2 Fe 2.43
Fe6 0.7500 0.7441 0.3750  2 Mn 2.30, 2 Si 2.35, 2 Fe 2.43
Fe7 0.7500 0.7559 0.8750  2 Mn 2.30, 2 Si 2.35, 2 Fe 2.43
Fe8 0.7559 0.2500 0.1250  2 Mn 2.30, 2 Si 2.35, 2 Fe 2.43
Si1 0.0000 0.0000 0.5000  4 Fe 2.35, 2 Mn 2.42
Si2 0.0000 0.5000 0.7500  4 Fe 2.35, 2 Mn 2.42
Si3 0.5000 0.0000 0.2500  4 Fe 2.35, 2 Mn 2.42
Si4 0.5000 0.5000 0.0000  4 Fe 2.35, 2 Mn 2.42

---

14.
First-principles (PBE) data for an optimized crystal structure of BC2, as listed in the Alexandria database.

Results
ΔE_f ... 0.377 eV/atom
Polymorph energy (0 for the lowest one) ... 137 meV per atom
Crystal system ... triclinic

a b c (Å): 4.4564 4.5956 4.6130
angles (deg): 60.27 83.27 69.46
Last column: nearest neighbours and their distance in Å.
Fractional coordinates of all 12 atoms:
B1 0.0000 0.0000 0.0000  3 C 1.58-1.64
B2 0.0540 0.9685 0.4046  2 C 1.58-1.66, 1 B 1.77
B3 0.4692 0.8797 0.3485  2 C 1.56-1.66
B4 0.6272 0.4036 0.3693  3 C 1.58-1.61
C1 0.1119 0.6166 0.0336  3 C 1.52-1.57, 1 B 1.58
C2 0.1147 0.3040 0.6950  3 C 1.54-1.57, 1 B 1.61
C3 0.4754 0.4996 0.0251  3 C 1.52-1.55, 1 B 1.59
C4 0.4878 0.1599 0.7080  3 C 1.55-1.62, 1 B 1.61
C5 0.5934 0.7817 0.7225  3 C 1.55-1.60, 1 B 1.66
C6 0.6113 0.1318 0.0400  2 C 1.55-1.62, 2 B 1.56-1.64
C7 0.9656 0.6565 0.7173  3 C 1.55-1.57, 1 B 1.58
C8 0.9946 0.3661 0.3625  2 C 1.54-1.55, 2 B 1.58-1.66